1.
Density functional theory data (PBE) for an optimized crystal structure of LaCl.

abc: 10.349 10.349 10.349
angles: 159.84 159.21 29.12
Sites, in units of the cell vectors:
La 0.332 0.082 0.250
La 0.668 0.918 0.750
Cl 0.096 0.346 0.750
Cl 0.904 0.654 0.250

Properties
The uncorrected formation energy comes out at -1.398 eV/atom. The calculation puts the total energy at -0.3517 Ry/atom. For the volume, the calculation gives 33.88 A^3/atom. Its crystal system is orthorhombic.

***

2.
Density functional theory data (PBE) for an optimized crystal structure of GaFeMo2H.

abc: 3.919 3.919 3.927
angles: 90.00 90.00 90.00
Sites, in units of the cell vectors:
Ga 0.000 0.000 0.000
Fe 0.500 0.500 0.000
Mo 0.000 0.500 0.500
Mo 0.500 0.000 0.500
H 0.500 0.500 0.500

Properties
The calculation puts the total energy at -0.5317 Ry/atom. For the volume, the calculation gives 12.06 A^3/atom. Its crystal system is tetragonal.

***

3.
Density functional theory data (PBE) for an optimized crystal structure of TaF.

abc: 3.392 3.392 3.392
angles: 60.00 60.00 60.00
Sites, in units of the cell vectors:
Ta 0.000 0.000 0.000
F 0.500 0.500 0.500

Properties
The uncorrected formation energy comes out at 0.035 eV/atom. The calculation puts the total energy at -0.5018 Ry/atom. For the volume, the calculation gives 13.80 A^3/atom. Its crystal system is cubic. The offset from the most stable computed form comes out at 1.697 eV/atom.

***

4.
Density functional theory data (PBE) for an optimized crystal structure of ZnInPb2.

abc: 3.586 3.586 8.377
angles: 90.00 90.00 90.00
Sites, in units of the cell vectors:
Zn 0.000 0.000 0.000
In 0.000 0.000 0.500
Pb 0.500 0.500 0.219
Pb 0.500 0.500 0.781

Properties
The formation energy from the elements is 0.083 eV/atom. The calculation puts the total energy at -0.2039 Ry/atom. For the volume, the calculation gives 26.94 A^3/atom. Its crystal system is tetragonal.

***

5.
Density functional theory data (PBE) for an optimized crystal structure of YSb2Pd4.

abc: 16.714 4.513 7.392
angles: 90.00 90.00 90.00
Sites, in units of the cell vectors:
Y 0.146 0.250 0.057
Y 0.354 0.750 0.557
Y 0.646 0.250 0.443
Y 0.854 0.750 0.943
Sb 0.028 0.750 0.253
Sb 0.205 0.250 0.600
Sb 0.295 0.750 0.100
Sb 0.472 0.250 0.753
Sb 0.528 0.750 0.247
Sb 0.705 0.250 0.900
Sb 0.795 0.750 0.400
Sb 0.972 0.250 0.747
Pd 0.036 0.750 0.894
Pd 0.061 0.250 0.440
Pd 0.183 0.750 0.379
Pd 0.207 0.750 0.801
Pd 0.293 0.250 0.301
Pd 0.317 0.250 0.879
Pd 0.439 0.750 0.940
Pd 0.464 0.250 0.394
Pd 0.536 0.750 0.606
Pd 0.561 0.250 0.060
Pd 0.683 0.750 0.121
Pd 0.707 0.750 0.699
Pd 0.793 0.250 0.199
Pd 0.817 0.250 0.621
Pd 0.939 0.750 0.560
Pd 0.964 0.250 0.106

Properties
The uncorrected formation energy comes out at -0.679 eV/atom. The calculation puts the total energy at -0.4225 Ry/atom. For the volume, the calculation gives 19.91 A^3/atom. Its crystal system is orthorhombic. The offset from the most stable computed form comes out at 0.010 eV/atom.

***

6.
Density functional theory data (PBE) for an optimized crystal structure of SmLuGaCo.

abc: 4.924 4.924 4.924
angles: 60.00 60.00 60.00
Sites, in units of the cell vectors:
Sm 0.000 0.000 0.000
Lu 0.500 0.500 0.500
Ga 0.250 0.250 0.250
Co 0.750 0.750 0.750

Properties
The formation energy from the elements is -0.299 eV/atom. The calculation puts the total energy at -0.3779 Ry/atom. For the volume, the calculation gives 21.10 A^3/atom. Its crystal system is cubic.

***

7.
Density functional theory data (PBE) for an optimized crystal structure of ScCrCu2.

abc: 3.217 3.217 5.799
angles: 90.00 90.00 90.00
Sites, in units of the cell vectors:
Sc 0.000 0.000 0.000
Cr 0.500 0.500 0.285
Cu 0.000 0.000 0.509
Cu 0.500 0.500 0.727

Properties
The formation energy from the elements is 0.116 eV/atom. The calculation puts the total energy at -0.4352 Ry/atom. For the volume, the calculation gives 15.00 A^3/atom. Its crystal system is tetragonal. The offset from the most stable computed form comes out at 0.073 eV/atom.

***

8.
Density functional theory data (PBE) for an optimized crystal structure of Mg2CdAgAu4.

abc: 8.088 8.088 8.088
angles: 33.92 33.92 33.92
Sites, in units of the cell vectors:
Mg 0.248 0.248 0.248
Mg 0.752 0.752 0.752
Cd 0.000 0.000 0.000
Ag 0.500 0.500 0.500
Au 0.125 0.125 0.125
Au 0.375 0.375 0.375
Au 0.625 0.625 0.625
Au 0.875 0.875 0.875

Properties
The formation energy from the elements is -0.367 eV/atom. The calculation puts the total energy at -0.2113 Ry/atom. For the volume, the calculation gives 18.36 A^3/atom. Its crystal system is trigonal.